# V2PbO6

An optimized crystal structure of V2PbO6 (PBE+U, Alexandria).

Lattice parameters (Å, degrees): 5.109 5.109 7.443 109.60 109.60 42.50
Sites, in units of the cell vectors:
V 0.179 0.179 0.120
V 0.821 0.821 0.880
Pb 0.000 0.000 0.500
O 0.018 0.018 0.175
O 0.304 0.304 0.939
O 0.315 0.315 0.347
O 0.685 0.685 0.653
O 0.696 0.696 0.061
O 0.982 0.982 0.825

Its magnetic moment is 0.0 μB per formula unit. As for the energy above the most stable polymorph in this dataset: 0.25 eV/f.u.